# 1
Density functional theory data (PBE) for an optimized crystal structure of U3Sb2N2.

Lattice parameters (Å, degrees): 12.025 3.938 7.458 90.00 121.88 90.00
Space group C2/m (No. 12)
Symmetry-distinct sites (fractional):
U1 0.000 0.000 0.000
U2 0.191 0.000 0.763
Sb1 0.074 0.500 0.359
N1 0.205 0.000 0.083

formation energy from raw total energies = -0.902 eV per atom
total magnetization = 0.85 μB per atom
density of states at the Fermi level = 11.5 states/eV/f.u.
DFT total energy = -9.30 eV per atom

***

# 2
Density functional theory data (PBE) for an optimized crystal structure of U4Sb3N2.

Lattice parameters (Å, degrees): 13.222 3.968 8.777 90.00 118.28 90.00
Space group C2/m (No. 12)
Symmetry-distinct sites (fractional):
U1 0.121 0.000 0.413
U2 0.199 0.500 0.120
Sb1 0.000 0.000 0.000
Sb2 0.100 0.500 0.702
N1 0.194 0.500 0.367

formation energy from raw total energies = -0.735 eV per atom
total magnetization = 0.98 μB per atom
density of states at the Fermi level = 15.6 states/eV/f.u.
DFT total energy = -8.98 eV per atom

***

# 3
Density functional theory data (PBE) for an optimized crystal structure of U2Sb2N.

Lattice parameters (Å, degrees): 3.999 3.999 29.711 90.00 90.00 90.00
Space group I4_1/amd (No. 141, origin choice 2)
Symmetry-distinct sites (fractional):
U1 0.000 0.250 0.089
Sb1 0.000 0.250 0.209
N1 0.000 0.250 0.875

formation energy from raw total energies = -0.393 eV per atom
total magnetization = 0.84 μB per atom
density of states at the Fermi level = 8.7 states/eV/f.u.
DFT total energy = -8.22 eV per atom

***

# 4
Density functional theory data (PBE) for an optimized crystal structure of U2SbN.

Lattice parameters (Å, degrees): 3.2320 3.2320 25.2429 90.00 90.00 120.00
Space group R3m (No. 160, hexagonal axes)
Symmetry-distinct sites (fractional):
U1 0.0000 0.0000 0.0000
U2 0.0000 0.0000 0.2152
Sb1 0.0000 0.0000 0.4409
N1 0.0000 0.0000 0.6081

formation energy from raw total energies = -0.624 eV per atom
total magnetization = 0.63 μB per atom
energy above the lowest structure with this stoichiometry = 121 meV/atom
density of states at the Fermi level = 8.8 states/eV/f.u.
DFT total energy = -9.38 eV per atom

***

# 5
Density functional theory data (PBE) for an optimized crystal structure of U2SbN2.

Lattice parameters (Å, degrees): 3.865 3.865 12.343 90.00 90.00 90.00
Space group I4/mmm (No. 139)
Symmetry-distinct sites (fractional):
U1 0.000 0.000 0.157
Sb1 0.000 0.000 0.500
N1 0.000 0.500 0.250

formation energy from raw total energies = -1.206 eV per atom
total magnetization = 0.60 μB per atom
density of states at the Fermi level = 8.7 states/eV/f.u.
DFT total energy = -9.88 eV per atom

***

# 6
Density functional theory data (PBE) for an optimized crystal structure of U2SbN.

Lattice parameters (Å, degrees): 3.7249 3.7249 20.5599 90.00 90.00 120.00
Space group R-3m (No. 166, hexagonal axes)
Symmetry-distinct sites (fractional):
U1 0.0000 0.0000 0.2253
Sb1 0.0000 0.0000 0.0000
N1 0.0000 0.0000 0.5000

formation energy from raw total energies = -0.600 eV per atom
total magnetization = 1.01 μB per atom
energy above the lowest structure with this stoichiometry = 145 meV/atom
density of states at the Fermi level = 8.2 states/eV/f.u.
DFT total energy = -9.36 eV per atom

***

# 7
Density functional theory data (PBE) for an optimized crystal structure of U2SbN.

Lattice parameters (Å, degrees): 3.216 3.216 7.331 90.00 90.00 90.00
Space group P4/mmm (No. 123)
Symmetry-distinct sites (fractional):
U1 0.000 0.000 0.164
Sb1 0.500 0.500 0.500
N1 0.500 0.500 0.000

formation energy from raw total energies = -0.167 eV per atom
total magnetization = 0.00 μB per atom
energy above the lowest structure with this stoichiometry = 579 meV/atom
density of states at the Fermi level = 6.7 states/eV/f.u.
DFT total energy = -8.92 eV per atom

***

# 8
Density functional theory data (PBE) for an optimized crystal structure of YUSbN2.

Lattice parameters (Å, degrees): 3.911 3.911 12.306 90.00 90.00 90.00
Space group I4mm (No. 107)
Symmetry-distinct sites (fractional):
Y1 0.000 0.000 0.000
U1 0.000 0.000 0.324
Sb1 0.000 0.000 0.666
N1 0.000 0.500 0.398

formation energy from raw total energies = -1.317 eV per atom
total magnetization = 0.00 μB per atom
density of states at the Fermi level = 1.7 states/eV/f.u.
DFT total energy = -9.02 eV per atom

***

# 9
Density functional theory data (PBE) for an optimized crystal structure of YUSb2N.

Lattice parameters (Å, degrees): 4.082 4.082 14.025 90.00 90.00 90.00
Space group P4/nmm (No. 129, origin choice 2)
Symmetry-distinct sites (fractional):
Y1 0.250 0.250 0.090
U1 0.250 0.250 0.576
Sb1 0.250 0.250 0.312
Sb2 0.250 0.250 0.858
N1 0.250 0.750 0.500

formation energy from raw total energies = -0.859 eV per atom
total magnetization = 0.09 μB per atom
density of states at the Fermi level = 4.0 states/eV/f.u.
DFT total energy = -7.72 eV per atom

***

# 10
Density functional theory data (PBE) for an optimized crystal structure of ZrUSb2N.

Lattice parameters (Å, degrees): 3.913 3.913 13.781 90.00 90.00 90.00
Space group P4/nmm (No. 129, origin choice 2)
Symmetry-distinct sites (fractional):
Zr1 0.250 0.250 0.072
U1 0.250 0.250 0.582
Sb1 0.250 0.250 0.293
Sb2 0.250 0.250 0.853
N1 0.250 0.750 0.500

formation energy from raw total energies = -0.851 eV per atom
total magnetization = 0.16 μB per atom
density of states at the Fermi level = 4.7 states/eV/f.u.
DFT total energy = -8.13 eV per atom

***

# 11
Density functional theory data (PBE) for an optimized crystal structure of VSbN2.

Lattice parameters (Å, degrees): 5.214 5.214 8.839 90.00 90.00 90.00
Space group I-42d (No. 122)
Symmetry-distinct sites (fractional):
V1 0.000 0.000 0.000
Sb1 0.000 0.000 0.500
N1 0.132 0.250 0.125

formation energy from raw total energies = -0.019 eV per atom
total magnetization = 0.00 μB per atom
density of states at the Fermi level = 2.7 states/eV/f.u.
DFT total energy = -7.49 eV per atom

***

# 12
Density functional theory data (PBE) for an optimized crystal structure of VSbN3.

Lattice parameters (Å, degrees): 3.876 3.876 3.876 90.00 90.00 90.00
Space group Pm-3m (No. 221)
Symmetry-distinct sites (fractional):
V1 0.000 0.000 0.000
Sb1 0.500 0.500 0.500
N1 0.000 0.000 0.500

formation energy from raw total energies = 0.493 eV per atom
total magnetization = 0.08 μB per atom
density of states at the Fermi level = 3.0 states/eV/f.u.
DFT total energy = -7.15 eV per atom

***

# 13
Density functional theory data (PBE) for an optimized crystal structure of VSbN2.

Lattice parameters (Å, degrees): 3.0317 3.0317 19.3879 90.00 90.00 120.00
Space group R-3m (No. 166, hexagonal axes)
Symmetry-distinct sites (fractional):
V1 0.0000 0.0000 0.0000
Sb1 0.0000 0.0000 0.5000
N1 0.0000 0.0000 0.3873

formation energy from raw total energies = -0.145 eV per atom
total magnetization = 0.18 μB per atom
density of states at the Fermi level = 2.4 states/eV/f.u.
DFT total energy = -7.62 eV per atom

***

# 14
Density functional theory data (PBE) for an optimized crystal structure of VSb2N.

Lattice parameters (Å, degrees): 6.196 6.196 8.374 90.00 90.00 90.00
Space group I-42d (No. 122)
Symmetry-distinct sites (fractional):
V1 0.000 0.000 0.000
Sb1 0.190 0.250 0.625
N1 0.000 0.000 0.500

formation energy from raw total energies = 0.662 eV per atom
total magnetization = 0.51 μB per atom
density of states at the Fermi level = 1.0 states/eV/f.u.
DFT total energy = -5.76 eV per atom

***

# 15
Density functional theory data (PBE) for an optimized crystal structure of VSbN3.

Lattice parameters (Å, degrees): 4.002 4.002 4.002 90.00 90.00 90.00
Space group Pm-3m (No. 221)
Symmetry-distinct sites (fractional):
V1 0.000 0.000 0.000
Sb1 0.500 0.500 0.500
N1 0.000 0.500 0.500

formation energy from raw total energies = 1.352 eV per atom
total magnetization = 0.25 μB per atom
density of states at the Fermi level = 3.6 states/eV/f.u.
DFT total energy = -6.29 eV per atom

***

# 16
Density functional theory data (PBE) for an optimized crystal structure of Zr2VSbN.

Lattice parameters (Å, degrees): 4.637 4.637 3.902 90.00 90.00 90.00
Space group P4/mmm (No. 123)
Symmetry-distinct sites (fractional):
Zr1 0.000 0.500 0.000
V1 0.000 0.000 0.500
Sb1 0.500 0.500 0.500
N1 0.000 0.000 0.000

formation energy from raw total energies = -0.771 eV per atom
total magnetization = 0.00 μB per atom
density of states at the Fermi level = 4.5 states/eV/f.u.
DFT total energy = -8.50 eV per atom

***

# 17
Density functional theory data (PBE) for an optimized crystal structure of SbWN3.

Lattice parameters (Å, degrees): 3.959 3.959 3.959 90.00 90.00 90.00
Space group Pm-3m (No. 221)
Symmetry-distinct sites (fractional):
Sb1 0.000 0.000 0.000
W1 0.500 0.500 0.500
N1 0.000 0.000 0.500

formation energy from raw total energies = 1.848 eV per atom
total magnetization = 0.39 μB per atom
density of states at the Fermi level = 1.4 states/eV/f.u.
DFT total energy = -6.56 eV per atom

***

# 18
Density functional theory data (PBE) for an optimized crystal structure of SbW2N2.

Lattice parameters (Å, degrees): 4.017 4.017 9.753 90.00 90.00 90.00
Space group I4/mmm (No. 139)
Symmetry-distinct sites (fractional):
Sb1 0.000 0.000 0.000
W1 0.000 0.500 0.250
N1 0.000 0.000 0.303

formation energy from raw total energies = 0.288 eV per atom
total magnetization = 0.00 μB per atom
energy above the lowest structure with this stoichiometry = 0 meV/atom
density of states at the Fermi level = 2.9 states/eV/f.u.
DFT total energy = -9.05 eV per atom

***

# 19
Density functional theory data (PBE) for an optimized crystal structure of SbW3N.

Lattice parameters (Å, degrees): 4.209 4.209 4.209 90.00 90.00 90.00
Space group Pm-3m (No. 221)
Symmetry-distinct sites (fractional):
Sb1 0.000 0.000 0.000
W1 0.000 0.500 0.500
N1 0.500 0.500 0.500

formation energy from raw total energies = 0.390 eV per atom
total magnetization = 0.00 μB per atom
energy above the lowest structure with this stoichiometry = 0 meV/atom
density of states at the Fermi level = 3.4 states/eV/f.u.
DFT total energy = -9.87 eV per atom

***

# 20
Density functional theory data (PBE) for an optimized crystal structure of SbW3N.

Lattice parameters (Å, degrees): 4.889 4.889 4.889 90.00 90.00 90.00
Space group Pm-3m (No. 221)
Symmetry-distinct sites (fractional):
Sb1 0.000 0.000 0.000
W1 0.000 0.000 0.500
N1 0.500 0.500 0.500

formation energy from raw total energies = 3.842 eV per atom
total magnetization = 0.00 μB per atom
energy above the lowest structure with this stoichiometry = 3452 meV/atom
density of states at the Fermi level = 4.6 states/eV/f.u.
DFT total energy = -6.42 eV per atom

***

# 21
Density functional theory data (PBE) for an optimized crystal structure of SbWN3.

Lattice parameters (Å, degrees): 3.984 3.984 3.984 90.00 90.00 90.00
Space group Pm-3m (No. 221)
Symmetry-distinct sites (fractional):
Sb1 0.000 0.000 0.000
W1 0.500 0.500 0.500
N1 0.000 0.500 0.500

formation energy from raw total energies = 0.482 eV per atom
total magnetization = 0.00 μB per atom
density of states at the Fermi level = 2.1 states/eV/f.u.
DFT total energy = -7.93 eV per atom

***

# 22
Density functional theory data (PBE) for an optimized crystal structure of SbW2N2.

Lattice parameters (Å, degrees): 7.021 7.021 2.781 90.00 90.00 90.00
Space group P4/mbm (No. 127)
Symmetry-distinct sites (fractional):
Sb1 0.000 0.000 0.000
W1 0.130 0.370 0.500
N1 0.116 0.616 0.000

formation energy from raw total energies = 0.867 eV per atom
total magnetization = 0.00 μB per atom
energy above the lowest structure with this stoichiometry = 579 meV/atom
density of states at the Fermi level = 3.8 states/eV/f.u.
DFT total energy = -8.47 eV per atom

***

# 23
Density functional theory data (PBE) for an optimized crystal structure of ZrSbWN2.

Lattice parameters (Å, degrees): 4.004 4.004 5.487 90.00 90.00 90.00
Space group P4/mmm (No. 123)
Symmetry-distinct sites (fractional):
Zr1 0.000 0.000 0.000
Sb1 0.500 0.500 0.000
W1 0.500 0.500 0.500
N1 0.000 0.500 0.500

formation energy from raw total energies = 0.355 eV per atom
total magnetization = 0.00 μB per atom
density of states at the Fermi level = 2.9 states/eV/f.u.
DFT total energy = -8.10 eV per atom

***

# 24
Density functional theory data (PBE) for an optimized crystal structure of Y2SbN.

Lattice parameters (Å, degrees): 7.139 4.087 12.927 90.00 90.00 90.00
Space group Pnma (No. 62)
Symmetry-distinct sites (fractional):
Y1 0.112 0.250 0.232
Y2 0.178 0.250 0.964
Sb1 0.102 0.250 0.634
N1 0.055 0.750 0.909

formation energy from raw total energies = -1.321 eV per atom
total magnetization = 0.00 μB per atom
energy above the lowest structure with this stoichiometry = 56 meV/atom
density of states at the Fermi level = 0.3 states/eV/f.u.
DFT total energy = -7.67 eV per atom

***

# 25
Density functional theory data (PBE) for an optimized crystal structure of Y2SbN.

Lattice parameters (Å, degrees): 7.048 7.048 7.048 90.00 90.00 90.00
Space group Fm-3m (No. 225)
Symmetry-distinct sites (fractional):
Y1 0.250 0.250 0.250
Sb1 0.000 0.000 0.000
N1 0.000 0.000 0.500

formation energy from raw total energies = -0.174 eV per atom
total magnetization = 0.00 μB per atom
energy above the lowest structure with this stoichiometry = 1203 meV/atom
density of states at the Fermi level = 1.2 states/eV/f.u.
DFT total energy = -6.52 eV per atom

***

# 26
Density functional theory data (PBE) for an optimized crystal structure of Y3SbN.

Lattice parameters (Å, degrees): 7.255 4.105 8.411 90.00 92.14 90.00
Space group P2_1/m (No. 11)
Symmetry-distinct sites (fractional):
Y1 0.110 0.250 0.154
Y2 0.182 0.250 0.545
Y3 0.335 0.750 0.865
Sb1 0.402 0.750 0.274
N1 0.084 0.750 0.644

formation energy from raw total energies = -1.017 eV per atom
total magnetization = 0.17 μB per atom
density of states at the Fermi level = 2.2 states/eV/f.u.
DFT total energy = -7.39 eV per atom